1.
Computed, not measured: a relaxed Cd2FeCl crystal at the GGA-PBEsol level of DFT.

Geometry as POSCAR:
```
Cd2FeCl
1.0
2.8731 -4.1366 0.0000
2.8731 4.1366 0.0000
0.0000 0.0000 3.0344
Cd Fe Cl
2 1 1
direct
0.0000 0.5000 0.0000
0.5000 0.0000 0.0000
0.0000 0.0000 0.5000
0.5000 0.5000 0.5000
```

Calculated total energy = -12.54 eV/cell
Size of the total moment = 2.7 μB/f.u.

---

2.
Computed, not measured: a relaxed CdFeCl crystal at the GGA-PBEsol level of DFT.

Geometry as POSCAR:
```
CdFeCl
1.0
0.0000 3.1110 3.1110
3.1110 0.0000 3.1110
3.1110 3.1110 0.0000
Cd Fe Cl
1 1 1
direct
0.0000 0.0000 0.0000
0.5000 0.5000 0.5000
0.2500 0.2500 0.2500
```

Calculated total energy = -9.72 eV/cell
Size of the total moment = 2.7 μB/f.u.

---

3.
Computed, not measured: a relaxed Cd2FeCl crystal at the GGA-PBEsol level of DFT.

Geometry as POSCAR:
```
Cd2FeCl
1.0
5.0153 0.0000 0.0000
0.0000 5.0153 0.0000
0.0000 0.0000 2.9604
Cd Fe Cl
2 1 1
direct
0.0000 0.5000 0.0000
0.5000 0.0000 0.0000
0.0000 0.0000 0.5000
0.5000 0.5000 0.5000
```

Calculated total energy = -12.29 eV/cell
Size of the total moment = 2.6 μB/f.u.

---

4.
Computed, not measured: a relaxed CdFe2MoCl crystal at the GGA-PBEsol level of DFT.

Geometry as POSCAR:
```
CdFe2MoCl
1.0
4.5710 0.0000 0.0000
0.0000 4.5710 0.0000
0.0000 0.0000 4.5551
Cd Fe Mo Cl
1 2 1 1
direct
0.0000 0.0000 0.0000
0.0000 0.5000 0.5000
0.5000 0.0000 0.5000
0.5000 0.5000 0.5000
0.5000 0.5000 0.0000
```

Calculated total energy = -27.30 eV/cell
Size of the total moment = 4.2 μB/f.u.

---

5.
Computed, not measured: a relaxed CdGaCl3 crystal at the GGA-PBEsol level of DFT.

Geometry as POSCAR:
```
CdGaCl3
1.0
5.0997 0.0000 0.0000
0.0000 5.0997 0.0000
0.0000 0.0000 5.0997
Cd Ga Cl
1 1 3
direct
0.0000 0.0000 0.0000
0.5000 0.5000 0.5000
0.0000 0.0000 0.5000
0.0000 0.5000 0.0000
0.5000 0.0000 0.0000
```

Calculated total energy = -14.33 eV/cell
Size of the total moment = 0.0 μB/f.u.

---

6.
Computed, not measured: a relaxed CdGa2Cl8 crystal at the GGA-PBEsol level of DFT.

Geometry as POSCAR:
```
CdGa2Cl8
1.0
7.0720 0.0000 0.0000
0.0000 6.7309 0.0000
-0.4844 0.0000 12.9509
Cd Ga Cl
2 4 16
direct
0.0000 0.2404 0.0000
0.0000 0.7596 0.5000
0.4441 0.4175 0.9577
0.4441 0.5825 0.4577
0.8513 0.0621 0.7615
0.8513 0.9379 0.2615
0.0809 0.0968 0.1841
0.0809 0.9032 0.6841
0.2123 0.4470 0.5456
0.2123 0.5530 0.0456
0.3418 0.1084 0.9451
0.3418 0.8916 0.4451
0.4803 0.4372 0.3146
0.4803 0.5628 0.8146
0.5916 0.0629 0.6753
0.5916 0.9371 0.1753
0.7016 0.4294 0.0611
0.7016 0.5706 0.5611
0.8376 0.0717 0.4186
0.8376 0.9283 0.9186
0.9600 0.3611 0.8029
0.9600 0.6389 0.3029
```

Calculated total energy = -71.87 eV/cell
Size of the total moment = 0.0 μB/f.u.

---

7.
Computed, not measured: a relaxed CdGeSCl2 crystal at the GGA-PBEsol level of DFT.

Geometry as POSCAR:
```
CdGeSCl2
1.0
4.8217 0.0000 0.0000
0.0000 4.8217 0.0000
0.0000 0.0000 4.8435
Cd Ge S Cl
1 1 1 2
direct
0.0000 0.0000 0.0000
0.5000 0.5000 0.5000
0.5000 0.5000 0.0000
0.0000 0.5000 0.5000
0.5000 0.0000 0.5000
```

Calculated total energy = -15.72 eV/cell
Size of the total moment = 0.0 μB/f.u.

---

8.
Computed, not measured: a relaxed CdGeSCl2 crystal at the GGA-PBEsol level of DFT.

Geometry as POSCAR:
```
CdGeSCl2
1.0
4.9183 0.0000 0.0000
0.0000 4.9183 0.0000
0.0000 0.0000 5.1246
Cd Ge S Cl
1 1 1 2
direct
0.0000 0.0000 0.0000
0.5000 0.5000 0.5000
0.0000 0.0000 0.5000
0.0000 0.5000 0.0000
0.5000 0.0000 0.0000
```

Calculated total energy = -14.71 eV/cell
Size of the total moment = 0.0 μB/f.u.

---

9.
Computed, not measured: a relaxed KCd3H8Cl7O4 crystal at the GGA-PBEsol level of DFT.

Geometry as POSCAR:
```
KCd3H8Cl7O4
1.0
6.6374 0.0000 0.0000
0.0000 15.8001 0.0000
-0.2998 0.0000 6.9802
K Cd H Cl O
2 6 16 14 8
direct
0.0305 0.2500 0.1542
0.9695 0.7500 0.8458
0.0000 0.0000 0.5000
0.0000 0.5000 0.5000
0.4908 0.0958 0.3266
0.4908 0.4042 0.3266
0.5092 0.5958 0.6734
0.5092 0.9042 0.6734
0.0954 0.7010 0.2873
0.0954 0.7990 0.2873
0.2784 0.0763 0.9682
0.2784 0.4237 0.9682
0.3758 0.7500 0.1857
0.3920 0.1671 0.9566
0.3920 0.3329 0.9566
0.4042 0.2500 0.7119
0.5958 0.7500 0.2881
0.6080 0.6671 0.0434
0.6080 0.8329 0.0434
0.6242 0.2500 0.8143
0.7216 0.5763 0.0318
0.7216 0.9237 0.0318
0.9046 0.2010 0.7127
0.9046 0.2990 0.7127
0.1733 0.1443 0.5198
0.1733 0.3557 0.5198
0.1862 0.5428 0.8266
0.1862 0.9572 0.8266
0.3272 0.5569 0.3352
0.3272 0.9431 0.3352
0.3767 0.7500 0.6518
0.6233 0.2500 0.3482
0.6728 0.0569 0.6648
0.6728 0.4431 0.6648
0.8138 0.0428 0.1734
0.8138 0.4572 0.1734
0.8267 0.6443 0.4802
0.8267 0.8557 0.4802
0.1342 0.7500 0.2099
0.3175 0.1275 0.0435
0.3175 0.3725 0.0435
0.4742 0.2500 0.8391
0.5258 0.7500 0.1609
0.6825 0.6275 0.9565
0.6825 0.8725 0.9565
0.8658 0.2500 0.7901
```

Calculated total energy = -184.88 eV/cell
Size of the total moment = 0.0 μB/f.u.

---

10.
Computed, not measured: a relaxed MgCd2HCl crystal at the GGA-PBEsol level of DFT.

Geometry as POSCAR:
```
MgCd2HCl
1.0
5.1738 0.0000 0.0000
0.0000 5.1738 0.0000
0.0000 0.0000 3.7101
Mg Cd H Cl
1 2 1 1
direct
0.0000 0.0000 0.0000
0.0000 0.5000 0.5000
0.5000 0.0000 0.5000
0.0000 0.0000 0.5000
0.5000 0.5000 0.0000
```

Calculated total energy = -9.07 eV/cell
Size of the total moment = 0.0 μB/f.u.

---

11.
Computed, not measured: a relaxed CdH4NCl3 crystal at the GGA-PBEsol level of DFT.

Geometry as POSCAR:
```
CdH4NCl3
1.0
9.0874 0.0000 0.0000
0.0000 3.9744 0.0000
0.0000 0.0000 14.5939
Cd H N Cl
4 16 4 12
direct
0.1637 0.2500 0.0585
0.3363 0.7500 0.5585
0.6637 0.2500 0.4415
0.8363 0.7500 0.9415
0.0187 0.7500 0.3896
0.0477 0.2500 0.7180
0.1118 0.5418 0.3028
0.1118 0.9582 0.3028
0.3882 0.0418 0.8028
0.3882 0.4582 0.8028
0.4523 0.7500 0.2180
0.4813 0.2500 0.8896
0.5187 0.7500 0.1104
0.5477 0.2500 0.7820
0.6118 0.5418 0.1972
0.6118 0.9582 0.1972
0.8882 0.0418 0.6972
0.8882 0.4582 0.6972
0.9523 0.7500 0.2820
0.9813 0.2500 0.6104
0.0479 0.7500 0.3207
0.4521 0.2500 0.8207
0.5479 0.7500 0.1793
0.9521 0.2500 0.6793
0.0259 0.2500 0.9000
0.1690 0.2500 0.5016
0.2347 0.7500 0.7210
0.2653 0.2500 0.2210
0.3310 0.7500 0.0016
0.4741 0.7500 0.4000
0.5259 0.2500 0.6000
0.6690 0.2500 0.9984
0.7347 0.7500 0.7790
0.7653 0.2500 0.2790
0.8310 0.7500 0.4984
0.9741 0.7500 0.1000
```

Calculated total energy = -144.63 eV/cell
Size of the total moment = 0.0 μB/f.u.

---

12.
Computed, not measured: a relaxed CdH6N2Cl2 crystal at the GGA-PBEsol level of DFT.

Geometry as POSCAR:
```
CdH6N2Cl2
1.0
4.0816 -4.0189 0.0000
4.0816 4.0189 0.0000
-0.1847 0.0000 3.9722
Cd H N Cl
1 6 2 2
direct
0.0000 0.0000 0.0000
0.2173 0.4231 0.1611
0.3209 0.3256 0.7980
0.4238 0.2184 0.1564
0.5769 0.7827 0.8389
0.6744 0.6791 0.2020
0.7816 0.5762 0.8436
0.2732 0.2744 0.0309
0.7256 0.7268 0.9691
0.2327 0.7673 0.5000
0.7673 0.2327 0.5000
```

Calculated total energy = -49.20 eV/cell
Size of the total moment = 0.0 μB/f.u.

---

13.
Computed, not measured: a relaxed CdHClO crystal at the GGA-PBEsol level of DFT.

Geometry as POSCAR:
```
CdHClO
1.0
3.6628 0.0000 0.0000
-1.8314 3.1721 0.0000
0.0000 0.0000 10.2092
Cd H Cl O
2 2 2 2
direct
0.3333 0.6667 0.0000
0.6667 0.3333 0.5000
0.0000 0.0000 0.3242
0.0000 0.0000 0.8242
0.3333 0.6667 0.6650
0.6667 0.3333 0.1650
0.0000 0.0000 0.4206
0.0000 0.0000 0.9206
```

Calculated total energy = -32.27 eV/cell
Size of the total moment = 0.0 μB/f.u.

---

14.
Computed, not measured: a relaxed CdH3Cl3O crystal at the GGA-PBEsol level of DFT.

Geometry as POSCAR:
```
CdH3Cl3O
1.0
9.0182 0.0000 0.0000
0.0000 4.0776 0.0000
0.0000 0.0000 15.3068
Cd H Cl O
4 12 12 4
direct
0.2044 0.2500 0.0196
0.2956 0.7500 0.5196
0.7044 0.2500 0.4804
0.7956 0.7500 0.9804
0.0216 0.7500 0.2177
0.0526 0.0524 0.6987
0.0526 0.4476 0.6987
0.4474 0.5524 0.1987
0.4474 0.9476 0.1987
0.4784 0.2500 0.7177
0.5216 0.7500 0.2823
0.5526 0.0524 0.8013
0.5526 0.4476 0.8013
0.9474 0.5524 0.3013
0.9474 0.9476 0.3013
0.9784 0.2500 0.7823
0.0168 0.7500 0.0908
0.1604 0.2500 0.4620
0.2041 0.7500 0.6798
0.2959 0.2500 0.1798
0.3396 0.7500 0.9620
0.4832 0.2500 0.5908
0.5168 0.7500 0.4092
0.6604 0.2500 0.0380
0.7041 0.7500 0.8202
0.7959 0.2500 0.3202
0.8396 0.7500 0.5380
0.9832 0.2500 0.9092
0.0140 0.7500 0.2845
0.4860 0.2500 0.7845
0.5140 0.7500 0.2155
0.9860 0.2500 0.7155
```

Calculated total energy = -119.90 eV/cell
Size of the total moment = 0.0 μB/f.u.

---

15.
Computed, not measured: a relaxed SrCd2H16Cl6O8 crystal at the GGA-PBEsol level of DFT.

Geometry as POSCAR:
```
SrCd2H16Cl6O8
1.0
7.5919 0.0000 0.0000
0.4070 8.9074 0.0000
1.7380 2.6725 12.0565
Sr Cd H Cl O
2 4 32 12 16
direct
0.0213 0.3326 0.3965
0.9788 0.6674 0.6035
0.1058 0.8100 0.0929
0.3932 0.1649 0.8989
0.6068 0.8351 0.1011
0.8942 0.1900 0.9071
0.0410 0.9378 0.7328
0.0566 0.9845 0.3711
0.2039 0.3087 0.1441
0.2115 0.5494 0.7975
0.2118 0.3866 0.5912
0.2275 0.9526 0.4816
0.2799 0.8280 0.4076
0.2912 0.4500 0.1701
0.3108 0.4684 0.4703
0.3112 0.7067 0.7324
0.3255 0.1493 0.5418
0.3825 0.1534 0.4112
0.4159 0.2369 0.2468
0.4351 0.5571 0.6569
0.4475 0.5927 0.3325
0.4706 0.9218 0.7286
0.5294 0.0782 0.2714
0.5525 0.4073 0.6675
0.5649 0.4429 0.3431
0.5841 0.7631 0.7532
0.6175 0.8466 0.5888
0.6745 0.8507 0.4582
0.6888 0.2933 0.2676
0.6892 0.5316 0.5297
0.7088 0.5500 0.8299
0.7201 0.1720 0.5924
0.7725 0.0474 0.5184
0.7882 0.6135 0.4088
0.7885 0.4506 0.2025
0.7961 0.6913 0.8559
0.9434 0.0155 0.6289
0.9590 0.0622 0.2672
0.0720 0.6790 0.2926
0.1421 0.9661 0.8845
0.1448 0.3567 0.9428
0.3333 0.0253 0.1115
0.3890 0.6500 0.0550
0.4371 0.1893 0.6839
0.5629 0.8107 0.3161
0.6110 0.3500 0.9450
0.6667 0.9747 0.8885
0.8552 0.6433 0.0572
0.8579 0.0339 0.1155
0.9280 0.3210 0.7074
0.0024 0.9190 0.6649
0.1850 0.8576 0.4620
0.1950 0.4634 0.5233
0.2337 0.6219 0.7245
0.2424 0.3461 0.2057
0.2797 0.1363 0.4738
0.4399 0.4798 0.3590
0.4897 0.8202 0.7091
0.5103 0.1798 0.2909
0.5601 0.5202 0.6410
0.7203 0.8637 0.5262
0.7576 0.6539 0.7943
0.7663 0.3781 0.2755
0.8050 0.5366 0.4767
0.8149 0.1424 0.5380
0.9976 0.0810 0.3351
```

Calculated total energy = -300.02 eV/cell
Size of the total moment = 0.0 μB/f.u.

---

16.
Computed, not measured: a relaxed Hf2CdRuCl crystal at the GGA-PBEsol level of DFT.

Geometry as POSCAR:
```
Hf2CdRuCl
1.0
4.6332 0.0000 0.0000
0.0000 4.6332 0.0000
0.0000 0.0000 4.3644
Hf Cd Ru Cl
2 1 1 1
direct
0.0000 0.5000 0.0000
0.5000 0.0000 0.0000
0.0000 0.0000 0.5000
0.5000 0.5000 0.5000
0.5000 0.5000 0.0000
```

Calculated total energy = -33.27 eV/cell
Size of the total moment = 0.0 μB/f.u.

---

17.
Computed, not measured: a relaxed CdHg2Cl crystal at the GGA-PBEsol level of DFT.

Geometry as POSCAR:
```
CdHg2Cl
1.0
1.8830 1.0871 8.0027
-1.8830 1.0871 8.0027
0.0000 -2.1743 8.0027
Cd Hg Cl
1 2 1
direct
0.0000 0.0000 0.0000
0.4960 0.4960 0.4960
0.7446 0.7446 0.7446
0.2653 0.2653 0.2653
```

Calculated total energy = -5.41 eV/cell
Size of the total moment = 0.0 μB/f.u.

---

18.
Computed, not measured: a relaxed Cd2HgCl crystal at the GGA-PBEsol level of DFT.

Geometry as POSCAR:
```
Cd2HgCl
1.0
-2.0576 2.0576 5.4472
2.0576 -2.0576 5.4472
2.0576 2.0576 -5.4472
Cd Hg Cl
2 1 1
direct
0.0000 0.0000 0.0000
0.7500 0.2500 0.5000
0.2500 0.7500 0.5000
0.5000 0.5000 0.0000
```

Calculated total energy = -5.55 eV/cell
Size of the total moment = 0.0 μB/f.u.

---

Number 1: theoretical density 7.3 g cm⁻³. Number 2: theoretical density 5.6 g cm⁻³. Number 3: theoretical density 7.0 g cm⁻³. Number 4: theoretical density 6.2 g cm⁻³. Number 5: theoretical density 3.6 g cm⁻³. Number 6: theoretical density 2.9 g cm⁻³. Number 7: theoretical density 4.2 g cm⁻³. Number 8: theoretical density 3.9 g cm⁻³. Number 9: theoretical density 3.2 g cm⁻³. Number 10: theoretical density 4.8 g cm⁻³. Number 11: theoretical density 3.0 g cm⁻³. Number 12: theoretical density 2.8 g cm⁻³. Number 13: theoretical density 4.6 g cm⁻³. Number 14: theoretical density 2.8 g cm⁻³. Number 15: theoretical density 2.7 g cm⁻³. Number 16: theoretical density 10.7 g cm⁻³. Number 17: theoretical density 9.3 g cm⁻³. Number 18: theoretical density 8.3 g cm⁻³.